This record from the Alexandria database describes Tb3Er2Al3 after structural relaxation. The functional is PBE.

Values from the calculation:
Its total moment is 0.000 μB/f.u. The value obtained for the formation energy is -0.301 eV per atom.

The structure in CIF format:
```
data_Tb3Er2Al3
_chemical_formula_sum 'Tb6 Er4 Al6'
_space_group_name_H-M_alt 'I m m m'
_space_group_IT_number 71
_space_group_name_Hall '-I 2 2'
_cell_length_a 3.663
_cell_length_b 5.166
_cell_length_c 21.542
_cell_angle_alpha 90.00
_cell_angle_beta 90.00
_cell_angle_gamma 90.00
loop_
_atom_site_label
_atom_site_type_symbol
_atom_site_fract_x
_atom_site_fract_y
_atom_site_fract_z
Tb1 Tb 0.000 0.000 0.000
Tb2 Tb 0.000 0.500 0.121
Er1 Er 0.000 0.000 0.231
Al1 Al 0.000 0.000 0.500
Al2 Al 0.000 0.500 0.383
```